Computed, not measured: a relaxed Ni3OF5 crystal at the GGA+U level of DFT.

a b c (Å): 9.2870 4.6979 4.6970
angles (deg): 90.00 90.00 90.00
Space group Pmn2_1 (No. 31)
Unique sites:
1 Ni 0.0000 0.2355 0.0000 (multiplicity 2)
2 Ni 0.1627 0.7521 0.5183 (multiplicity 4)
3 O 0.0000 0.9397 0.7070 (multiplicity 2)
4 F 0.0000 0.5429 0.3082 (multiplicity 2)
5 F 0.1668 0.0506 0.2086 (multiplicity 4)
6 F 0.1687 0.4412 0.8159 (multiplicity 4)

Properties
The calculation puts the total magnetization at 7.0 μB per formula unit. The calculation puts the calculated volume at 204.9 Å³ per cell. As for the distance to the lowest polymorph of the same formula: 0.6 meV per atom.